# HoTl2Cr3F12 PBE with a Hubbard U relaxed
# Calculated total energy in eV per atom: -5.7770
# Total moment in μB/cell: 11.00
# Symmetry: R-3m (166)
data_HoTl2Cr3F12
_chemical_formula_sum 'Ho1 Tl2 Cr3 F12'
_symmetry_space_group_name_H-M 'P 1'
_symmetry_Int_Tables_number 1
_cell_length_a 7.719
_cell_length_b 7.719
_cell_length_c 7.719
_cell_angle_alpha 59.92
_cell_angle_beta 59.92
_cell_angle_gamma 59.92
loop_
_symmetry_equiv_pos_as_xyz
'x,y,z'
loop_
_atom_site_label
_atom_site_type_symbol
_atom_site_fract_x
_atom_site_fract_y
_atom_site_fract_z
F1 F 0.681 0.681 0.084
F2 F 0.928 0.334 0.928
F3 F 0.928 0.928 0.334
F4 F 0.072 0.666 0.072
F5 F 0.319 0.916 0.319
F6 F 0.334 0.928 0.928
F7 F 0.681 0.084 0.681
F8 F 0.072 0.072 0.666
F9 F 0.084 0.681 0.681
F10 F 0.916 0.319 0.319
F11 F 0.666 0.072 0.072
F12 F 0.319 0.319 0.916
Tl1 Tl 0.407 0.407 0.407
Tl2 Tl 0.593 0.593 0.593
Ho1 Ho 0.000 0.000 0.000
Cr1 Cr 0.000 0.000 0.500
Cr2 Cr 0.500 0.000 0.000
Cr3 Cr 0.000 0.500 0.000